Material: Pa4CdO12
Method: DFT, PBE
State: optimized geometry

POSCAR file:
```
Pa4CdO12
1.0
-4.309 2.752 5.182
-2.895 1.525 -6.503
0.556 -7.208 0.859
O Pa Cd
12 4 1
Cartesian
-5.064 -0.501 -1.234
-4.460 -2.245 1.403
-3.434 0.248 3.879
-0.705 -4.969 -0.873
-3.213 -3.179 -4.341
-3.053 -4.174 3.135
-2.934 0.252 0.962
-2.188 -0.686 -1.865
-1.584 -2.430 0.772
-3.714 -3.183 -1.425
-3.595 1.243 -3.598
-5.943 2.038 0.410
-3.324 -1.465 -0.231
-1.447 0.763 -3.252
0.278 -3.604 0.429
-2.155 1.376 2.591
-1.877 -2.228 3.020
```

Calculated total energy ... -148.199 eV per cell
ΔE_f (raw) ... -2.930 eV per atom